# AsIr2W, relaxed, DFT PBE
data_AsIr2W
_chemical_formula_sum 'As3 Ir6 W3'
_cell_length_a 2.8640
_cell_length_b 2.8640
_cell_length_c 25.7376
_cell_angle_alpha 90.00
_cell_angle_beta 90.00
_cell_angle_gamma 120.00
_space_group_name_H-M_alt 'R 3 m'
_space_group_IT_number 160
_space_group_name_Hall 'R 3 -2"'
loop_
_atom_site_label
_atom_site_type_symbol
_atom_site_fract_x
_atom_site_fract_y
_atom_site_fract_z
As1 As 0.0000 0.0000 0.0000
Ir1 Ir 0.0000 0.0000 0.4991
Ir2 Ir 0.0000 0.0000 0.7430
W1 W 0.0000 0.0000 0.2478
# N(E_F), states/eV/f.u.: 2.0
# Energy relative to the elements, eV per atom: 0.131

---

# La2Zn4Cu3Pd, relaxed, DFT PBE
data_La2Zn4Cu3Pd
_chemical_formula_sum 'La2 Zn4 Cu3 Pd1'
_cell_length_a 4.440
_cell_length_b 4.440
_cell_length_c 9.629
_cell_angle_alpha 90.00
_cell_angle_beta 90.00
_cell_angle_gamma 90.00
_space_group_name_H-M_alt 'P -4 m 2'
_space_group_IT_number 115
_space_group_name_Hall 'P -4 -2'
loop_
_atom_site_label
_atom_site_type_symbol
_atom_site_fract_x
_atom_site_fract_y
_atom_site_fract_z
La1 La 0.000 0.500 0.245
Zn1 Zn 0.000 0.000 0.500
Zn2 Zn 0.000 0.500 0.871
Zn3 Zn 0.500 0.500 0.500
Cu1 Cu 0.000 0.000 0.000
Cu2 Cu 0.000 0.500 0.618
Pd1 Pd 0.500 0.500 0.000
# N(E_F), states/eV/f.u.: 6.0
# Energy relative to the elements, eV per atom: -0.329

---

# Mg2Co2Ni, relaxed, DFT PBE
data_Mg2Co2Ni
_chemical_formula_sum 'Mg4 Co4 Ni2'
_cell_length_a 5.972
_cell_length_b 5.972
_cell_length_c 4.071
_cell_angle_alpha 90.00
_cell_angle_beta 90.00
_cell_angle_gamma 90.00
_space_group_name_H-M_alt 'P 4/m b m'
_space_group_IT_number 127
_space_group_name_Hall '-P 4 2ab'
loop_
_atom_site_label
_atom_site_type_symbol
_atom_site_fract_x
_atom_site_fract_y
_atom_site_fract_z
Mg1 Mg 0.177 0.323 0.000
Co1 Co 0.128 0.628 0.500
Ni1 Ni 0.000 0.000 0.500
# N(E_F), states/eV/f.u.: 5.7
# Energy relative to the elements, eV per atom: 0.100

---

# Pu2HgPb2, relaxed, DFT PBE
data_Pu2HgPb2
_chemical_formula_sum 'Pu8 Hg4 Pb8'
_cell_length_a 6.422
_cell_length_b 8.579
_cell_length_c 10.846
_cell_angle_alpha 90.00
_cell_angle_beta 96.24
_cell_angle_gamma 90.00
_space_group_name_H-M_alt 'C 1 2/c 1'
_space_group_IT_number 15
_space_group_name_Hall '-C 2yc'
loop_
_atom_site_label
_atom_site_type_symbol
_atom_site_fract_x
_atom_site_fract_y
_atom_site_fract_z
Pu1 Pu 0.121 0.070 0.118
Hg1 Hg 0.000 0.372 0.250
Pb1 Pb 0.110 0.331 0.597
# N(E_F), states/eV/f.u.: 20.1
# Energy relative to the elements, eV per atom: 0.059
# Relative energy among the computed polymorphs, eV per atom: 0.0330

---

# Na10B13C7, relaxed, DFT PBE
data_Na10B13C7
_chemical_formula_sum 'Na20 B26 C14'
_cell_length_a 22.844
_cell_length_b 2.827
_cell_length_c 9.937
_cell_angle_alpha 90.00
_cell_angle_beta 107.59
_cell_angle_gamma 90.00
_space_group_name_H-M_alt 'C 1 m 1'
_space_group_IT_number 8
_space_group_name_Hall 'C -2y'
loop_
_atom_site_label
_atom_site_type_symbol
_atom_site_fract_x
_atom_site_fract_y
_atom_site_fract_z
Na1 Na 0.000 0.000 0.000
Na2 Na 0.000 0.500 0.493
Na3 Na 0.100 0.000 0.696
Na4 Na 0.101 0.500 0.199
Na5 Na 0.200 0.000 0.399
Na6 Na 0.201 0.500 0.896
Na7 Na 0.298 0.500 0.600
Na8 Na 0.301 0.000 0.100
Na9 Na 0.398 0.000 0.801
Na10 Na 0.400 0.500 0.298
B1 B 0.015 0.500 0.779
B2 B 0.016 0.000 0.280
B3 B 0.081 0.500 0.910
B4 B 0.113 0.500 0.473
B5 B 0.123 0.000 0.995
B6 B 0.191 0.000 0.132
B7 B 0.210 0.000 0.668
B8 B 0.282 0.000 0.813
B9 B 0.286 0.500 0.321
B10 B 0.322 0.500 0.895
B11 B 0.380 0.000 0.508
B12 B 0.418 0.000 0.088
B13 B 0.472 0.500 0.692
C1 C 0.082 0.000 0.410
C2 C 0.179 0.500 0.604
C3 C 0.222 0.500 0.194
C4 C 0.316 0.000 0.382
C5 C 0.386 0.500 0.024
C6 C 0.412 0.500 0.570
C7 C 0.484 0.000 0.218
# N(E_F), states/eV/f.u.: 5.6
# Energy relative to the elements, eV per atom: 0.085
# Relative energy among the computed polymorphs, eV per atom: 0.0000

---

# CaAl2CdW, relaxed, DFT PBE
data_CaAl2CdW
_chemical_formula_sum 'Ca1 Al2 Cd1 W1'
_cell_length_a 4.919
_cell_length_b 4.919
_cell_length_c 5.292
_cell_angle_alpha 90.00
_cell_angle_beta 90.00
_cell_angle_gamma 90.00
_space_group_name_H-M_alt 'P 4/m m m'
_space_group_IT_number 123
_space_group_name_Hall '-P 4 2'
loop_
_atom_site_label
_atom_site_type_symbol
_atom_site_fract_x
_atom_site_fract_y
_atom_site_fract_z
Ca1 Ca 0.000 0.000 0.000
Al1 Al 0.000 0.500 0.500
Cd1 Cd 0.500 0.500 0.000
W1 W 0.500 0.500 0.500
# N(E_F), states/eV/f.u.: 2.9
# Energy relative to the elements, eV per atom: 0.355

---

# Li4Ac2CdSi3, relaxed, DFT PBE
data_Li4Ac2CdSi3
_chemical_formula_sum 'Li4 Ac2 Cd1 Si3'
_cell_length_a 4.483
_cell_length_b 4.483
_cell_length_c 10.562
_cell_angle_alpha 90.00
_cell_angle_beta 90.00
_cell_angle_gamma 90.00
_space_group_name_H-M_alt 'P -4 m 2'
_space_group_IT_number 115
_space_group_name_Hall 'P -4 -2'
loop_
_atom_site_label
_atom_site_type_symbol
_atom_site_fract_x
_atom_site_fract_y
_atom_site_fract_z
Li1 Li 0.000 0.000 0.000
Li2 Li 0.000 0.500 0.369
Li3 Li 0.500 0.500 0.000
Ac1 Ac 0.000 0.500 0.768
Cd1 Cd 0.500 0.500 0.500
Si1 Si 0.000 0.000 0.500
Si2 Si 0.000 0.500 0.130
# N(E_F), states/eV/f.u.: 5.5
# Formation energy without anion corrections, eV/atom: -0.32

---

# BaOsBrO4, relaxed, DFT PBE
data_BaOsBrO4
_chemical_formula_sum 'Ba4 Os4 Br4 O16'
_cell_length_a 11.368
_cell_length_b 8.263
_cell_length_c 7.724
_cell_angle_alpha 90.00
_cell_angle_beta 104.04
_cell_angle_gamma 90.00
_space_group_name_H-M_alt 'C 1 2/m 1'
_space_group_IT_number 12
_space_group_name_Hall '-C 2y'
loop_
_atom_site_label
_atom_site_type_symbol
_atom_site_fract_x
_atom_site_fract_y
_atom_site_fract_z
Ba1 Ba 0.218 0.000 0.140
Os1 Os 0.131 0.500 0.257
Br1 Br 0.034 0.000 0.755
O1 O 0.028 0.500 0.785
O2 O 0.177 0.330 0.149
O3 O 0.195 0.500 0.487
# N(E_F), states/eV/f.u.: 5.5
# Formation energy without anion corrections, eV/atom: -1.52

---

- N(E_F) of number 1 (AsIr2W)?
  2.0 states/eV/f.u.